First-principles (PBE-GGA) data for crystalline KTi3Cl at its relaxed geometry, as listed in the Alexandria database.

The space group is Pm-3m (No. 221) and the conventional cell measures 4.7252, 4.7252 and 4.7252 Å, with angles of 90.00, 90.00 and 90.00 degrees. Symmetry generates all atoms from K at (0.0000, 0.0000, 0.0000), Ti at (0.0000, 0.5000, 0.5000) and Cl at (0.5000, 0.5000, 0.5000).

The energy above the lowest structure with this stoichiometry comes out at 0 meV/atom. For the total moment, the calculation gives 0.000 μB per formula unit. The value obtained for the density of states at the Fermi level is 3.99 states/eV per cell.